(1)
PBE-GGA CaBS, optimized geometry; raw formation energy = -1.8 eV/f.u.; space-group type = P1; crystal system = triclinic; V = 56.01 Å³/f.u.; distance to the lowest polymorph of the same formula = 352 meV per atom
1.0
4.2599 0.0000 0.0000
1.5937 4.3975 0.0000
2.0595 0.7811 5.9797
B S Ca
2 2 2
direct
0.6529 0.0632 0.3451
0.7135 0.3457 0.1472
0.5244 0.7131 0.3166
0.6111 0.0351 0.6599
0.1513 0.7703 0.0042
0.9917 0.4343 0.5792



(2)
PBE-GGA GaFeGeSb2, optimized geometry; raw formation energy = 5.1 eV/f.u.; space-group type = P4/mmm; crystal system = tetragonal; V = 125.13 Å³/f.u.
1.0
5.3078 0.0000 0.0000
0.0000 4.4413 0.0000
0.0000 0.0000 5.3078
Ga Ge Fe Sb
1 1 1 2
direct
0.0000 0.0000 0.0000
0.5000 0.5000 0.5000
0.0000 0.5000 0.0000
0.5000 0.0000 0.0000
0.0000 0.0000 0.5000



(3)
PBE-GGA Dy5Al2, optimized geometry; space-group type = Ibam; crystal system = orthorhombic; energy of formation from the pure elements = -0.18 eV per atom; V = 190.72 Å³/f.u.
1.0
-2.9510 -0.8524 5.8467
2.0609 -7.6924 -0.0813
6.6554 5.9006 0.4892
Dy Al
10 4
direct
0.4148 0.0782 0.8295
0.4841 0.7341 0.4683
0.5853 0.9218 0.1705
0.9841 0.7341 0.4683
0.0159 0.2659 0.5317
0.0853 0.2487 0.1705
0.5159 0.2659 0.5317
0.9147 0.7513 0.8295
0.2500 0.5000 0.0000
0.7500 0.5000 0.0000
0.6266 0.3545 0.2532
0.1266 0.8987 0.2532
0.3734 0.6455 0.7468
0.8734 0.1013 0.7468



(4)
PBE-GGA TiRe3Bi, optimized geometry; space-group type = Pm-3m; crystal system = cubic; energy of formation from the pure elements = 1.79 eV per atom; V = 102.28 Å³/f.u.; distance to the lowest polymorph of the same formula = 0 meV per atom
1.0
-1.4213 -4.3163 1.1047
2.2229 0.3179 4.1022
-3.8613 1.7718 1.9550
Bi Re Ti
1 3 1
direct
0.5000 0.5000 0.5000
0.0000 0.5000 0.0000
0.0000 0.0000 0.5000
0.5000 0.0000 0.0000
0.0000 0.0000 0.0000



(5)
PBE-GGA HgBrCl2, optimized geometry; raw formation energy = 0.0 eV/f.u.; space-group type = Pmmm; crystal system = orthorhombic; V = 117.51 Å³/f.u.; distance to the lowest polymorph of the same formula = 251 meV per atom
1.0
-3.0546 0.8438 1.0060
-0.0390 -2.5939 2.0570
4.2138 6.0555 7.7158
Br Cl Hg
1 2 1
direct
0.5000 0.5000 0.7500
0.0000 0.0000 0.4051
0.0000 0.0000 0.0949
0.5000 0.5000 0.2500



(6)
PBE-GGA UHS2, optimized geometry; space-group type = Cmc2_1; crystal system = orthorhombic; V = 92.06 Å³/f.u.; distance to the lowest polymorph of the same formula = 65 meV per atom
1.0
-0.9703 -1.8774 -3.4167
4.6323 -2.7824 0.2134
-3.3792 -5.1540 6.1536
S H U
4 2 2
direct
0.6982 0.2308 0.3964
0.3018 0.7308 0.6036
0.9238 0.2843 0.8477
0.0762 0.7843 0.1523
0.0350 0.5655 0.0700
0.9650 0.0655 0.9300
0.3096 0.2300 0.6192
0.6904 0.7300 0.3808



(7)
PBE-GGA LiPmPt4, optimized geometry; space-group type = F-43m; crystal system = cubic; energy of formation from the pure elements = -0.87 eV per atom; V = 110.47 Å³/f.u.
1.0
5.3859 0.0000 0.0000
2.6929 4.6643 0.0000
2.6929 1.5548 4.3975
Pt Pm Li
4 1 1
direct
0.6245 0.6245 0.6245
0.1264 0.6245 0.6245
0.6245 0.1264 0.6245
0.6245 0.6245 0.1264
0.0000 0.0000 0.0000
0.2500 0.2500 0.2500



(8)
PBE-GGA TaTi2Co, optimized geometry; space-group type = Fm-3m; crystal system = cubic; energy of formation from the pure elements = -0.01 eV per atom; V = 60.63 Å³/f.u.; distance to the lowest polymorph of the same formula = 178 meV per atom
1.0
0.0000 3.1180 3.1180
3.1180 0.0000 3.1180
3.1180 3.1180 0.0000
Co Ta Ti
1 1 2
direct
0.0000 0.0000 0.0000
0.5000 0.5000 0.5000
0.2500 0.2500 0.2500
0.7500 0.7500 0.7500



(9)
PBE-GGA RbWN2, optimized geometry; raw formation energy = 0.9 eV/f.u.; space-group type = Cmcm; crystal system = orthorhombic; V = 98.04 Å³/f.u.; distance to the lowest polymorph of the same formula = 646 meV per atom
1.0
5.4481 0.0000 0.0000
0.0000 6.2912 0.1311
0.0000 -2.7426 5.6634
W N Rb
2 4 2
direct
0.0000 0.0000 0.0000
0.5000 0.0000 0.0000
0.7500 0.8574 0.7535
0.2500 0.7535 0.8574
0.7500 0.2465 0.1426
0.2500 0.1426 0.2465
0.7500 0.3517 0.6483
0.2500 0.6483 0.3517